Entry 1:
The following is a DFT calculation (PBE) of a geometry-optimized HoEr4Hg structure.

Geometry as extended XYZ:
```
12
Lattice="6.249 -0.731 0.000 -2.541 8.511 0.000 -1.854 -3.890 6.900" Properties=species:S:1:pos:R:3 pbc="T T T"
Ho 0.292 4.073 1.287
Ho 1.562 -0.183 5.614
Er -1.582 -1.599 5.243
Er 1.760 3.090 4.295
Er -1.543 1.965 5.243
Er -1.176 5.055 4.295
Er 3.030 -1.165 2.606
Er 3.397 1.925 1.657
Er 0.094 0.800 2.606
Er 3.436 5.489 1.657
Hg 1.562 -0.183 0.007
Hg 0.292 4.073 6.894
```

Summary:
total magnetization	0.00	μB per formula unit

=====

Entry 2:
The following is a DFT calculation (PBE) of a geometry-optimized HoErHg2 structure.

Geometry as extended XYZ:
```
4
Lattice="3.711 0.000 0.000 1.855 3.214 0.000 1.855 1.071 9.158" Properties=species:S:1:pos:R:3 pbc="T T T"
Ho 3.711 2.142 0.006
Er 3.711 2.142 4.575
Hg 1.855 1.071 6.867
Hg 1.855 1.071 2.290
```

Summary:
total magnetization	0.00	μB per formula unit

=====

Entry 3:
The following is a DFT calculation (PBE) of a geometry-optimized HoErHg structure.

Geometry as extended XYZ:
```
3
Lattice="-0.014 3.638 -0.365 -4.781 -0.200 -1.803 0.819 0.507 5.022" Properties=species:S:1:pos:R:3 pbc="T T T"
Ho -2.923 2.245 0.250
Hg -1.052 1.428 2.631
Er -0.001 0.274 -0.027
```

Summary:
total magnetization	0.00	μB per formula unit

=====

Entry 4:
The following is a DFT calculation (PBE) of a geometry-optimized HoEr2Hg3 structure.

Geometry as extended XYZ:
```
6
Lattice="-1.831 -1.877 -2.617 0.664 -3.165 1.806 -9.392 1.263 5.666" Properties=species:S:1:pos:R:3 pbc="T T T"
Ho -5.280 -1.890 2.428
Er -8.414 -1.469 4.319
Er -2.145 -2.311 0.537
Hg 0.000 0.000 0.000
Hg -6.274 0.843 3.785
Hg -3.119 0.419 1.882
```

Summary:
total magnetization	0.00	μB per formula unit

=====

Entry 5:
The following is a DFT calculation (PBE) of a geometry-optimized Ho2Er3Hg3 structure.

Geometry as extended XYZ:
```
8
Lattice="-1.855 -0.985 -3.065 -3.381 -2.749 2.930 -3.724 10.721 1.059" Properties=species:S:1:pos:R:3 pbc="T T T"
Ho -3.872 3.620 -1.072
Ho -5.087 3.368 1.996
Er -4.157 0.282 0.173
Er -4.802 6.705 0.751
Er -0.927 -0.493 -1.532
Hg -1.499 2.093 0.234
Hg -1.690 -1.375 1.465
Hg -7.460 4.894 0.690
```

Summary:
total magnetization	0.00	μB per formula unit

=====

Entry 6:
The following is a DFT calculation (PBE) of a geometry-optimized Ho3ErHg12 structure.

Geometry as extended XYZ:
```
16
Lattice="4.497 0.000 0.000 0.000 4.497 0.000 0.000 0.000 19.208" Properties=species:S:1:pos:R:3 pbc="T T T"
Ho 0.000 0.000 4.796
Ho 0.000 0.000 9.604
Ho 0.000 0.000 14.412
Er 0.000 0.000 0.000
Hg 2.249 2.249 0.000
Hg 2.249 2.249 4.797
Hg 2.249 2.249 9.604
Hg 2.249 2.249 14.411
Hg 2.249 0.000 2.394
Hg 2.249 0.000 7.200
Hg 2.249 0.000 12.008
Hg 2.249 0.000 16.814
Hg 0.000 2.249 2.394
Hg 0.000 2.249 7.200
Hg 0.000 2.249 12.008
Hg 0.000 2.249 16.814
```

Summary:
total magnetization	0.00	μB per formula unit

=====

Number 1: D(E_F) 16.18 states/eV/cell, energy relative to the elements -42 meV/atom. Number 2: D(E_F) 3.76 states/eV/cell, energy relative to the elements -328 meV/atom. Number 3: D(E_F) 2.75 states/eV/cell, energy relative to the elements -182 meV/atom. Number 4: D(E_F) 5.01 states/eV/cell, energy relative to the elements -481 meV/atom. Number 5: D(E_F) 8.09 states/eV/cell, energy relative to the elements -356 meV/atom. Number 6: D(E_F) 9.14 states/eV/cell, energy relative to the elements -303 meV/atom.